First-principles (GGA-PBE) data for a relaxed PmEuSb4 crystal, as listed in Alexandria.

Summary:
The calculation puts the total magnetization at 7.23 μB/f.u. As for the space group: F-43m (216). The calculation puts the raw formation energy at -0.333 eV/atom. The calculation puts the volume at 30.11 A^3/atom.

abc: 6.345 6.345 6.345
angles: 60.00 60.00 60.00
Last column: magnetic moment on the atom in μB.
Fractional positions:
Sb  0.625  0.625  0.126  -0.02
Sb  0.625  0.126  0.625  -0.02
Sb  0.625  0.625  0.625  -0.02
Sb  0.126  0.625  0.625  -0.02
Eu  0.000  0.000  0.000  6.90
Pm  0.250  0.250  0.250  0.10